CuTeI2, relaxed, DFT PBE; final energy = -2.29 eV/atom; space group = I-42d
1.0
8.0571 0.0000 0.0000
0.0000 8.0571 0.0000
4.0286 4.0286 3.7181
Te Cu I
2 2 4
Cartesian
8.0571 4.0286 1.8590 Te
0.0000 0.0000 0.0000 Te
4.0286 8.0571 1.8590 Cu
4.0286 4.0286 0.0000 Cu
5.4772 2.0143 0.9295 I
2.5799 6.0429 0.9295 I
6.0429 6.6085 2.7886 I
10.0714 9.5058 2.7886 I